Record 1
# Pr2TiHg | Alexandria | GGA-PBE | optimized geometry
data_Pr2TiHg
_symmetry_space_group_name_H-M 'R -3 m'
_symmetry_Int_Tables_number 166
_symmetry_space_group_name_Hall '-R 3 2"'
_cell_length_a 3.3524
_cell_length_b 3.3524
_cell_length_c 34.5911
_cell_angle_alpha 90.00
_cell_angle_beta 90.00
_cell_angle_gamma 120.00
loop_
_atom_site_label
_atom_site_fract_x
_atom_site_fract_y
_atom_site_fract_z
Pr1 0.0000 0.0000 0.0860
Ti1 0.0000 0.0000 0.0000
Hg1 0.0000 0.0000 0.5000
# formation enthalpy at 0 K = 338 meV/atom
# electronic total energy = -4.101 eV/atom
# calculated density = 7.85 Mg/m³
# Fermi-level density of states = 1.35 states/eV per atom
# M_tot = 1.2 μB per formula unit



Record 2
# Pu4GeSe2S | Alexandria | GGA-PBE | optimized geometry
data_Pu4GeSe2S
_symmetry_space_group_name_H-M 'P 1 2/m 1'
_symmetry_Int_Tables_number 10
_cell_length_a 7.098
_cell_length_b 4.134
_cell_length_c 7.176
_cell_angle_alpha 90.00
_cell_angle_beta 109.59
_cell_angle_gamma 90.00
loop_
_symmetry_equiv_pos_as_xyz
'x,y,z'
'-x,-y,-z'
'-x,y,-z'
'x,-y,z'
loop_
_atom_site_label
_atom_site_fract_x
_atom_site_fract_y
_atom_site_fract_z
Pu1 0.242 0.000 0.239
Pu2 0.248 0.500 0.757
Ge1 0.500 0.000 0.000
Se1 0.000 0.000 0.500
Se2 0.500 0.500 0.500
S1 0.000 0.500 0.000
# electronic total energy = -10.401 eV/atom
# calculated density = 10.37 Mg/m³
# formation energy (no corrections) = -1270 meV/atom
# Fermi-level density of states = 4.74 states/eV per atom
# M_tot = 21.8 μB per formula unit



Record 3
# Sc2Cu2Ag | Alexandria | GGA-PBE | optimized geometry
data_Sc2Cu2Ag
_symmetry_space_group_name_H-M 'I 4/m m m'
_symmetry_Int_Tables_number 139
_symmetry_space_group_name_Hall '-I 4 2'
_cell_length_a 3.396
_cell_length_b 3.396
_cell_length_c 16.149
_cell_angle_alpha 90.00
_cell_angle_beta 90.00
_cell_angle_gamma 90.00
loop_
_atom_site_label
_atom_site_fract_x
_atom_site_fract_y
_atom_site_fract_z
Sc1 0.000 0.000 0.110
Cu1 0.000 0.500 0.250
Ag1 0.000 0.000 0.500
# formation enthalpy at 0 K = -29 meV/atom
# electronic total energy = -4.771 eV/atom
# calculated density = 5.79 Mg/m³
# offset from the most stable computed form = 0.2168 eV/atom
# Fermi-level density of states = 1.11 states/eV per atom
# M_tot = 0.0 μB per formula unit



Record 4
# TaTiCrOs | Alexandria | GGA-PBE | optimized geometry
data_TaTiCrOs
_symmetry_space_group_name_H-M 'P 4 m m'
_symmetry_Int_Tables_number 99
_cell_length_a 3.098
_cell_length_b 3.098
_cell_length_c 6.227
_cell_angle_alpha 90.00
_cell_angle_beta 90.00
_cell_angle_gamma 90.00
loop_
_symmetry_equiv_pos_as_xyz
'x,y,z'
'-y,x,z'
'-x,-y,z'
'y,-x,z'
'-x,y,z'
'y,x,z'
'x,-y,z'
'-y,-x,z'
loop_
_atom_site_label
_atom_site_fract_x
_atom_site_fract_y
_atom_site_fract_z
Ta1 0.000 0.000 0.000
Ti1 0.000 0.000 0.484
Cr1 0.500 0.500 0.245
Os1 0.500 0.500 0.737
# formation enthalpy at 0 K = -340 meV/atom
# electronic total energy = -10.490 eV/atom
# calculated density = 13.08 Mg/m³
# Fermi-level density of states = 0.66 states/eV per atom
# M_tot = 0.2 μB per formula unit



Record 5
# Np2U5Si3 | Alexandria | GGA-PBE | optimized geometry
data_Np2U5Si3
_symmetry_space_group_name_H-M 'P -1'
_symmetry_Int_Tables_number 2
_cell_length_a 7.389
_cell_length_b 7.831
_cell_length_c 8.095
_cell_angle_alpha 112.40
_cell_angle_beta 100.87
_cell_angle_gamma 108.90
loop_
_symmetry_equiv_pos_as_xyz
'x,y,z'
'-x,-y,-z'
loop_
_atom_site_label
_atom_site_fract_x
_atom_site_fract_y
_atom_site_fract_z
Np1 0.066 0.088 0.335
Np2 0.220 0.676 0.238
U1 0.160 0.445 0.821
U2 0.161 0.492 0.441
U3 0.269 0.978 0.529
U4 0.362 0.149 0.224
U5 0.445 0.282 0.974
Si1 0.029 0.229 0.036
Si2 0.265 0.842 0.829
Si3 0.455 0.403 0.645
# electronic total energy = -9.991 eV/atom
# calculated density = 15.17 Mg/m³
# formation energy (no corrections) = -132 meV/atom
# Fermi-level density of states = 2.33 states/eV per atom
# M_tot = 1.0 μB per formula unit



Record 6
# Ac4Pd6O19 | Alexandria | GGA-PBE | optimized geometry
data_Ac4Pd6O19
_symmetry_space_group_name_H-M 'I 2 3'
_symmetry_Int_Tables_number 197
_symmetry_space_group_name_Hall 'I 2 2 3'
_cell_length_a 9.221
_cell_length_b 9.221
_cell_length_c 9.221
_cell_angle_alpha 90.00
_cell_angle_beta 90.00
_cell_angle_gamma 90.00
loop_
_atom_site_label
_atom_site_fract_x
_atom_site_fract_y
_atom_site_fract_z
Ac1 0.163 0.163 0.163
Pd1 0.000 0.159 0.500
O1 0.000 0.000 0.000
O2 0.000 0.000 0.346
O3 0.036 0.286 0.673
# electronic total energy = -6.368 eV/atom
# calculated density = 7.84 Mg/m³
# formation energy (no corrections) = -1479 meV/atom
# Fermi-level density of states = 0.83 states/eV per atom
# M_tot = 0.0 μB per formula unit



Record 7
# AlZnTe2 | Alexandria | GGA-PBE | optimized geometry
data_AlZnTe2
_symmetry_space_group_name_H-M 'F -4 3 m'
_symmetry_Int_Tables_number 216
_symmetry_space_group_name_Hall 'F -4 2 3'
_cell_length_a 7.320
_cell_length_b 7.320
_cell_length_c 7.320
_cell_angle_alpha 90.00
_cell_angle_beta 90.00
_cell_angle_gamma 90.00
loop_
_atom_site_label
_atom_site_fract_x
_atom_site_fract_y
_atom_site_fract_z
Al1 0.000 0.000 0.000
Zn1 0.250 0.250 0.250
Te1 0.000 0.000 0.500
Te2 0.250 0.250 0.750
# electronic total energy = -2.497 eV/atom
# calculated density = 5.89 Mg/m³
# offset from the most stable computed form = 0.5838 eV/atom
# formation energy (no corrections) = 328 meV/atom
# Fermi-level density of states = 0.68 states/eV per atom
# M_tot = 0.0 μB per formula unit



Record 8
# CeLu2Te | Alexandria | GGA-PBE | optimized geometry
data_CeLu2Te
_symmetry_space_group_name_H-M 'P 4/m m m'
_symmetry_Int_Tables_number 123
_symmetry_space_group_name_Hall '-P 4 2'
_cell_length_a 4.745
_cell_length_b 4.745
_cell_length_c 4.720
_cell_angle_alpha 90.00
_cell_angle_beta 90.00
_cell_angle_gamma 90.00
loop_
_atom_site_label
_atom_site_fract_x
_atom_site_fract_y
_atom_site_fract_z
Ce1 0.000 0.000 0.000
Lu1 0.000 0.500 0.500
Te1 0.500 0.500 0.000
# electronic total energy = -4.923 eV/atom
# calculated density = 9.65 Mg/m³
# offset from the most stable computed form = 0.0809 eV/atom
# formation energy (no corrections) = -394 meV/atom
# Fermi-level density of states = 1.61 states/eV per atom
# M_tot = 0.5 μB per formula unit



Record 9
# Th2Hg3Pb3 | Alexandria | GGA-PBE | optimized geometry
data_Th2Hg3Pb3
_symmetry_space_group_name_H-M 'P m m m'
_symmetry_Int_Tables_number 47
_cell_length_a 4.808
_cell_length_b 4.846
_cell_length_c 9.425
_cell_angle_alpha 90.00
_cell_angle_beta 90.00
_cell_angle_gamma 90.00
loop_
_symmetry_equiv_pos_as_xyz
'x,y,z'
'-x,-y,-z'
'-x,-y,z'
'x,y,-z'
'x,-y,-z'
'-x,y,z'
'-x,y,-z'
'x,-y,z'
loop_
_atom_site_label
_atom_site_fract_x
_atom_site_fract_y
_atom_site_fract_z
Th1 0.000 0.000 0.250
Hg1 0.000 0.500 0.000
Hg2 0.500 0.500 0.243
Pb1 0.000 0.500 0.500
Pb2 0.500 0.000 0.000
Pb3 0.500 0.000 0.500
# formation enthalpy at 0 K = -261 meV/atom
# electronic total energy = -3.620 eV/atom
# calculated density = 12.76 Mg/m³
# Fermi-level density of states = 0.53 states/eV per atom
# M_tot = 0.0 μB per formula unit



Record 10
# CsSc2AgMo | Alexandria | GGA-PBE | optimized geometry
data_CsSc2AgMo
_symmetry_space_group_name_H-M 'P 4/m m m'
_symmetry_Int_Tables_number 123
_symmetry_space_group_name_Hall '-P 4 2'
_cell_length_a 5.068
_cell_length_b 5.068
_cell_length_c 6.066
_cell_angle_alpha 90.00
_cell_angle_beta 90.00
_cell_angle_gamma 90.00
loop_
_atom_site_label
_atom_site_fract_x
_atom_site_fract_y
_atom_site_fract_z
Cs1 0.000 0.000 0.000
Sc1 0.000 0.500 0.500
Ag1 0.500 0.500 0.000
Mo1 0.000 0.000 0.500
# formation enthalpy at 0 K = 967 meV/atom
# electronic total energy = -4.473 eV/atom
# calculated density = 4.55 Mg/m³
# Fermi-level density of states = 0.53 states/eV per atom
# M_tot = 0.0 μB per formula unit



Record 11
# Tb2NiBi | Alexandria | GGA-PBE | optimized geometry
data_Tb2NiBi
_symmetry_space_group_name_H-M 'P 1 21/m 1'
_symmetry_Int_Tables_number 11
_cell_length_a 6.221
_cell_length_b 4.115
_cell_length_c 8.437
_cell_angle_alpha 90.00
_cell_angle_beta 110.09
_cell_angle_gamma 90.00
loop_
_symmetry_equiv_pos_as_xyz
'x,y,z'
'-x,-y,-z'
'-x,y+1/2,-z'
'x,-y+1/2,z'
loop_
_atom_site_label
_atom_site_fract_x
_atom_site_fract_y
_atom_site_fract_z
Tb1 0.167 0.250 0.393
Tb2 0.246 0.750 0.046
Ni1 0.120 0.250 0.796
Bi1 0.377 0.750 0.707
# formation enthalpy at 0 K = -568 meV/atom
# electronic total energy = -5.299 eV/atom
# calculated density = 9.59 Mg/m³
# offset from the most stable computed form = 0.0000 eV/atom
# Fermi-level density of states = 0.80 states/eV per atom
# M_tot = 0.0 μB per formula unit



Record 12
# Mn3CoAg | Alexandria | GGA-PBE | optimized geometry
data_Mn3CoAg
_symmetry_space_group_name_H-M 'P m -3 m'
_symmetry_Int_Tables_number 221
_symmetry_space_group_name_Hall '-P 4 2 3'
_cell_length_a 4.507
_cell_length_b 4.507
_cell_length_c 4.507
_cell_angle_alpha 90.00
_cell_angle_beta 90.00
_cell_angle_gamma 90.00
loop_
_atom_site_label
_atom_site_fract_x
_atom_site_fract_y
_atom_site_fract_z
Mn1 0.000 0.000 0.500
Co1 0.000 0.000 0.000
Ag1 0.500 0.500 0.500
# formation enthalpy at 0 K = 840 meV/atom
# electronic total energy = -6.653 eV/atom
# calculated density = 6.02 Mg/m³
# offset from the most stable computed form = 0.0000 eV/atom
# Fermi-level density of states = 0.77 states/eV per atom
# M_tot = 12.9 μB per formula unit



Record 13
# Nd6SmMg | Alexandria | GGA-PBE | optimized geometry
data_Nd6SmMg
_symmetry_space_group_name_H-M 'I 4/m m m'
_symmetry_Int_Tables_number 139
_symmetry_space_group_name_Hall '-I 4 2'
_cell_length_a 5.855
_cell_length_b 5.855
_cell_length_c 15.683
_cell_angle_alpha 90.00
_cell_angle_beta 90.00
_cell_angle_gamma 90.00
loop_
_atom_site_label
_atom_site_fract_x
_atom_site_fract_y
_atom_site_fract_z
Nd1 0.000 0.000 0.247
Nd2 0.000 0.500 0.115
Sm1 0.000 0.000 0.000
Mg1 0.000 0.000 0.500
# formation enthalpy at 0 K = 69 meV/atom
# electronic total energy = -4.296 eV/atom
# calculated density = 6.43 Mg/m³
# offset from the most stable computed form = 0.0000 eV/atom
# Fermi-level density of states = 1.81 states/eV per atom
# M_tot = 0.0 μB per formula unit